Record 1
## K5InMo4O16 (PBE+U)

Data for an optimized crystal structure of K5InMo4O16.

Cell lengths 9.651, 9.651, 10.754 Å; angles 72.08, 72.08, 79.28 degrees
Positions (direct):
1 K 0.390 0.610 0.753
2 K 0.610 0.390 0.253
3 K 0.342 0.077 0.428
4 K 0.077 0.342 0.928
5 K 0.816 0.619 0.440
6 K 0.619 0.816 0.940
7 K 0.659 0.923 0.578
8 K 0.923 0.659 0.078
9 K 0.184 0.382 0.565
10 K 0.382 0.184 0.065
11 In 0.886 0.114 0.753
12 In 0.114 0.886 0.253
13 Mo 0.532 0.263 0.664
14 Mo 0.263 0.532 0.164
15 Mo 0.047 0.782 0.633
16 Mo 0.782 0.047 0.133
17 Mo 0.469 0.738 0.342
18 Mo 0.738 0.469 0.842
19 Mo 0.954 0.218 0.373
20 Mo 0.218 0.954 0.873
21 O 0.615 0.427 0.583
22 O 0.427 0.615 0.083
23 O 0.366 0.299 0.789
24 O 0.299 0.366 0.289
25 O 0.477 0.210 0.542
26 O 0.210 0.477 0.042
27 O 0.665 0.122 0.738
28 O 0.122 0.665 0.238
29 O 0.215 0.849 0.600
30 O 0.849 0.215 0.100
31 O 0.007 0.806 0.471
32 O 0.806 0.007 0.971
33 O 0.902 0.888 0.733
34 O 0.888 0.902 0.233
35 O 0.066 0.593 0.717
36 O 0.593 0.066 0.217
37 O 0.385 0.574 0.422
38 O 0.574 0.385 0.922
39 O 0.634 0.702 0.216
40 O 0.702 0.634 0.716
41 O 0.524 0.790 0.464
42 O 0.790 0.524 0.964
43 O 0.336 0.879 0.267
44 O 0.879 0.336 0.767
45 O 0.786 0.151 0.406
46 O 0.151 0.786 0.906
47 O 0.994 0.195 0.535
48 O 0.195 0.994 0.035
49 O 0.098 0.112 0.273
50 O 0.112 0.098 0.773
51 O 0.935 0.408 0.289
52 O 0.408 0.935 0.789

Output
* D(E_F): 0.0 states/eV per cell
* symmetry: No. 15
* VASP energy: -6.268 eV per atom

***

Record 2
## KInMo2O8 (PBE+U)

Data for an optimized crystal structure of KInMo2O8.

Cell lengths 5.497, 5.497, 8.777 Å; angles 71.75, 71.75, 60.00 degrees
Positions (direct):
1 K 0.500 0.500 0.500
2 In 0.000 0.000 0.000
3 Mo 0.259 0.259 0.222
4 Mo 0.741 0.741 0.778
5 O 0.188 0.188 0.437
6 O 0.612 0.247 0.156
7 O 0.812 0.812 0.563
8 O 0.985 0.612 0.156
9 O 0.015 0.388 0.844
10 O 0.247 0.985 0.156
11 O 0.753 0.015 0.844
12 O 0.388 0.753 0.844

Output
* D(E_F): 0.0 states/eV per cell
* symmetry: No. 148
* VASP energy: -6.478 eV per atom

***

Record 3
## KInMo2O8 (PBE+U)

Data for an optimized crystal structure of KInMo2O8.

Cell lengths 5.935, 9.105, 15.626 Å; angles 90.00, 90.00, 90.00 degrees
Positions (direct):
1 K 0.250 0.563 0.375
2 K 0.250 0.937 0.875
3 K 0.750 0.437 0.625
4 K 0.750 0.063 0.125
5 In 0.250 0.683 0.115
6 In 0.750 0.183 0.385
7 In 0.250 0.817 0.615
8 In 0.750 0.317 0.885
9 Mo 0.250 0.988 0.283
10 Mo 0.750 0.012 0.717
11 Mo 0.750 0.488 0.217
12 Mo 0.250 0.216 0.529
13 Mo 0.750 0.716 0.971
14 Mo 0.250 0.284 0.029
15 Mo 0.750 0.784 0.471
16 Mo 0.250 0.512 0.783
17 O 0.750 0.110 0.818
18 O 0.250 0.610 0.682
19 O 0.250 0.310 0.627
20 O 0.505 0.777 0.031
21 O 0.750 0.390 0.318
22 O 0.504 0.097 0.294
23 O 0.495 0.277 0.469
24 O 0.250 0.642 0.865
25 O 0.505 0.723 0.531
26 O 0.495 0.223 0.969
27 O 0.750 0.690 0.373
28 O 0.250 0.890 0.182
29 O 0.004 0.903 0.706
30 O 0.005 0.223 0.969
31 O 0.750 0.142 0.635
32 O 0.996 0.097 0.294
33 O 0.995 0.777 0.031
34 O 0.750 0.520 0.955
35 O 0.250 0.858 0.365
36 O 0.750 0.980 0.455
37 O 0.504 0.403 0.794
38 O 0.496 0.903 0.706
39 O 0.250 0.480 0.045
40 O 0.004 0.597 0.206
41 O 0.750 0.810 0.873
42 O 0.250 0.020 0.545
43 O 0.005 0.277 0.469
44 O 0.496 0.597 0.206
45 O 0.250 0.190 0.127
46 O 0.995 0.723 0.531
47 O 0.996 0.403 0.794
48 O 0.750 0.358 0.135

Output
* D(E_F): 0.0 states/eV per cell
* symmetry: No. 62
* VASP energy: -6.503 eV per atom